[1]
Computed, not measured: a geometry-optimized Be4C structure at the PBE-GGA level of DFT.

The polymorph energy (0 for the lowest one) comes out at 482 meV per atom. The calculation puts the energy of formation from the pure elements at 0.96 eV/atom.

The space group is I4/mmm (No. 139) and the conventional cell measures 2.625, 2.625 and 12.113 Å, with angles of 90.00, 90.00 and 90.00 degrees. The inequivalent atoms are Be at (0.000, 0.000, 0.087), Be at (0.000, 0.500, 0.250) and C at (0.000, 0.000, 0.500).

[2]
Computed, not measured: a geometry-optimized CoSbTeAs2 structure at the PBE-GGA level of DFT.

The calculation puts the raw formation energy at 0.26 eV/atom.

The space group is P4/mmm (No. 123) and the conventional cell measures 4.467, 4.467 and 5.708 Å, with angles of 90.00, 90.00 and 90.00 degrees. The inequivalent atoms are Co at (0.000, 0.000, 0.000), Sb at (0.000, 0.000, 0.500), Te at (0.500, 0.500, 0.500) and As at (0.000, 0.500, 0.000).

[3]
Computed, not measured: a geometry-optimized SrYAg2 structure at the PBE-GGA level of DFT.

The polymorph energy (0 for the lowest one) comes out at 172 meV per atom. The calculation puts the energy of formation from the pure elements at -0.12 eV/atom.

The space group is R-3m (No. 166, hexagonal axes) and the conventional cell measures 4.4089, 4.4089 and 21.9862 Å, with angles of 90.00, 90.00 and 120.00 degrees. The inequivalent atoms are Sr at (0.0000, 0.0000, 0.0000), Y at (0.0000, 0.0000, 0.5000) and Ag at (0.0000, 0.0000, 0.2389).

[4]
Computed, not measured: a geometry-optimized ZrSn2Ge2 structure at the PBE-GGA level of DFT.

The calculation puts the energy of formation from the pure elements at -0.06 eV/atom.

The space group is P4/mbm (No. 127) and the conventional cell measures 7.269, 7.269 and 4.196 Å, with angles of 90.00, 90.00 and 90.00 degrees. The inequivalent atoms are Zr at (0.000, 0.000, 0.000), Sn at (0.170, 0.330, 0.500) and Ge at (0.134, 0.634, 0.000).

[5]
Computed, not measured: a geometry-optimized Yb4Fe3B6 structure at the PBE-GGA level of DFT.

The calculation puts the energy of formation from the pure elements at 0.09 eV/atom.

The space group is R-3m (No. 166, hexagonal axes) and the conventional cell measures 5.5478, 5.5478 and 21.9841 Å, with angles of 90.00, 90.00 and 120.00 degrees. The inequivalent atoms are Yb at (0.0000, 0.0000, 0.0757), Yb at (0.0000, 0.0000, 0.2594), Fe at (0.0000, 0.0000, 0.3924), Fe at (0.0000, 0.0000, 0.5000) and B at (0.0000, 0.3535, 0.5000).

[6]
Computed, not measured: a geometry-optimized Al2ReAuCl structure at the PBE-GGA level of DFT.

The calculation puts the raw formation energy at 0.63 eV/atom.

The space group is P4/mmm (No. 123) and the conventional cell measures 4.992, 4.992 and 4.907 Å, with angles of 90.00, 90.00 and 90.00 degrees. The inequivalent atoms are Al at (0.000, 0.500, 0.000), Re at (0.000, 0.000, 0.000), Au at (0.000, 0.000, 0.500) and Cl at (0.500, 0.500, 0.500).

[7]
Computed, not measured: a geometry-optimized YPt2Au2 structure at the PBE-GGA level of DFT.

The polymorph energy (0 for the lowest one) comes out at 0 meV per atom. The calculation puts the energy of formation from the pure elements at -0.58 eV/atom.

The space group is I4/mmm (No. 139) and the conventional cell measures 3.917, 3.917 and 13.263 Å, with angles of 90.00, 90.00 and 90.00 degrees. The inequivalent atoms are Y at (0.000, 0.000, 0.000), Pt at (0.000, 0.000, 0.402) and Au at (0.000, 0.500, 0.250).

[8]
Computed, not measured: a geometry-optimized NbIrPdI structure at the PBE-GGA level of DFT.

The calculation puts the raw formation energy at 0.10 eV/atom. The polymorph energy (0 for the lowest one) comes out at 39 meV per atom.

The space group is Cm (No. 8) and the conventional cell measures 6.804, 3.844 and 6.989 Å, with angles of 90.00, 103.46 and 90.00 degrees. The inequivalent atoms are Nb at (0.000, 0.000, 0.000), Ir at (0.371, 0.000, 0.175), Pd at (0.273, 0.000, 0.770) and I at (0.404, 0.500, 0.492).

[9]
Computed, not measured: a geometry-optimized LaYF3 structure at the PBE-GGA level of DFT.

The calculation puts the raw formation energy at -2.54 eV/atom. The polymorph energy (0 for the lowest one) comes out at 0 meV per atom.

The space group is Pm-3m (No. 221) and the conventional cell measures 4.603, 4.603 and 4.603 Å, with angles of 90.00, 90.00 and 90.00 degrees. The inequivalent atoms are La at (0.000, 0.000, 0.000), Y at (0.500, 0.500, 0.500) and F at (0.000, 0.500, 0.500).

[10]
Computed, not measured: a geometry-optimized HfTa2TiZn structure at the PBE-GGA level of DFT.

The calculation puts the energy of formation from the pure elements at 1.66 eV/atom.

The space group is P4/mmm (No. 123) and the conventional cell measures 4.876, 4.876 and 4.948 Å, with angles of 90.00, 90.00 and 90.00 degrees. The inequivalent atoms are Hf at (0.000, 0.000, 0.000), Ta at (0.000, 0.500, 0.000), Ti at (0.500, 0.500, 0.500) and Zn at (0.000, 0.000, 0.500).

[11]
Computed, not measured: a geometry-optimized Cr2Re2Cl structure at the PBE-GGA level of DFT.

The calculation puts the raw formation energy at 0.74 eV/atom. The polymorph energy (0 for the lowest one) comes out at 132 meV per atom.

The space group is I4/mmm (No. 139) and the conventional cell measures 3.735, 3.735 and 12.571 Å, with angles of 90.00, 90.00 and 90.00 degrees. The inequivalent atoms are Cr at (0.000, 0.500, 0.250), Re at (0.000, 0.000, 0.133) and Cl at (0.000, 0.000, 0.500).

[12]
Computed, not measured: a geometry-optimized CaAg2Au structure at the PBE-GGA level of DFT.

The calculation puts the energy of formation from the pure elements at -0.35 eV/atom.

The space group is F-43m (No. 216) and the conventional cell measures 6.944, 6.944 and 6.944 Å, with angles of 90.00, 90.00 and 90.00 degrees. The inequivalent atoms are Ca at (0.000, 0.000, 0.000), Ag at (0.000, 0.000, 0.500), Ag at (0.250, 0.250, 0.750) and Au at (0.250, 0.250, 0.250).

no.,electronic total energy (eV/atom)
1,-3.8684
2,-4.4718
3,-3.5814
4,-5.2141
5,-5.4168
6,-4.3796
7,-5.5968
8,-6.3192
9,-5.9383
10,-6.9006
11,-8.4592
12,-3.0946